Record 1
Material: Hf6Zn3N
Method: DFT, PBE-GGA
State: relaxed Values from VASP.

Computed properties:
Raw total energy, eV per atom: -7.55
Magnetic moment, μB per atom: 0.000
Energy relative to the elements, uncorrected, meV per atom: -365

Cell and atoms, written as Quantum ESPRESSO input:
```
&SYSTEM
  ibrav = 0, nat = 10, ntyp = 3
/
ATOMIC_SPECIES
Hf 178.49 Hf.upf
Zn 65.41 Zn.upf
N 14.01 N.upf
CELL_PARAMETERS angstrom
5.277 -3.002 0.000
5.277 3.002 0.000
-0.694 0.000 5.777
ATOMIC_POSITIONS crystal
Hf 0.123 0.633 0.652
Hf 0.133 0.133 0.850
Hf 0.367 0.877 0.348
Hf 0.633 0.123 0.652
Hf 0.867 0.867 0.150
Hf 0.877 0.367 0.348
Zn 0.334 0.334 0.235
Zn 0.500 0.500 0.000
Zn 0.666 0.666 0.765
N 0.000 0.000 0.500
```

---

Record 2
Material: CrRuW
Method: DFT, PBE-GGA
State: relaxed Values from VASP.

Computed properties:
Raw total energy, eV per atom: -10.41
Energy of formation, eV per atom: 0.209
Distance to the lowest polymorph of the same formula, meV per atom: 50
Magnetic moment, μB per atom: 0.079

Cell and atoms, written as Quantum ESPRESSO input:
```
&SYSTEM
  ibrav = 0, nat = 6, ntyp = 3
/
ATOMIC_SPECIES
Cr 52.00 Cr.upf
Ru 101.07 Ru.upf
W 183.84 W.upf
CELL_PARAMETERS angstrom
2.757 0.000 0.000
0.000 3.650 0.000
0.000 0.000 8.431
ATOMIC_POSITIONS crystal
Cr 0.000 0.000 0.000
Cr 0.500 0.500 0.500
Ru 0.000 0.000 0.347
Ru 0.500 0.500 0.847
W 0.000 0.000 0.671
W 0.500 0.500 0.171
```

---

Record 3
Material: LiErSnF6
Method: DFT, PBE-GGA
State: relaxed Values from VASP.

Computed properties:
Raw total energy, eV per atom: -5.62
Magnetic moment, μB per atom: 0.000
Energy relative to the elements, uncorrected, meV per atom: -3207

Cell and atoms, written as Quantum ESPRESSO input:
```
&SYSTEM
  ibrav = 0, nat = 9, ntyp = 4
/
ATOMIC_SPECIES
Li 6.94 Li.upf
Er 167.26 Er.upf
Sn 118.71 Sn.upf
F 19.00 F.upf
CELL_PARAMETERS angstrom
5.551 0.000 0.000
-2.775 4.807 0.000
0.000 0.000 5.244
ATOMIC_POSITIONS crystal
Li 0.000 0.000 0.000
Er 0.667 0.333 0.000
Sn 0.333 0.667 0.500
F 0.326 0.016 0.221
F 0.326 0.309 0.779
F 0.691 0.016 0.779
F 0.691 0.674 0.221
F 0.984 0.309 0.221
F 0.984 0.674 0.779
```